Entry 1:
The following is a GGA-PBE calculation of an optimized crystal structure of Pr8Ni2Pt, from Alexandria.

Cell lengths 7.710, 7.710, 6.445 Å; angles 100.28, 100.28, 113.91 degrees
Fractional positions:
Pr 0.000 0.000 0.000
Pr 0.002 0.275 0.562
Pr 0.146 0.554 0.179
Pr 0.275 0.002 0.562
Pr 0.443 0.710 0.799
Pr 0.554 0.146 0.179
Pr 0.710 0.443 0.799
Pr 0.720 0.720 0.381
Ni 0.051 0.676 0.700
Ni 0.676 0.051 0.700
Pt 0.369 0.369 0.401

Values from the calculation:
For the final energy, the calculation gives -5.27 eV per atom. The formation enthalpy at 0 K is -0.197 eV/atom. Its space-group type is Cm.

---

Entry 2:
The following is a GGA-PBE calculation of an optimized crystal structure of Pr2Ni5Pt5, from Alexandria.

Cell lengths 4.223, 5.158, 9.240 Å; angles 90.00, 90.00, 90.00 degrees
Fractional positions:
Pr 0.000 0.000 0.000
Pr 0.000 0.500 0.500
Ni 0.500 0.000 0.500
Ni 0.500 0.248 0.256
Ni 0.500 0.248 0.744
Ni 0.500 0.752 0.256
Ni 0.500 0.752 0.744
Pt 0.000 0.000 0.334
Pt 0.000 0.000 0.666
Pt 0.000 0.500 0.180
Pt 0.000 0.500 0.820
Pt 0.500 0.500 0.000

Values from the calculation:
For the final energy, the calculation gives -6.26 eV per atom. The formation enthalpy at 0 K is -0.536 eV/atom. Its space-group type is Pmmm.

---

Entry 3:
The following is a GGA-PBE calculation of an optimized crystal structure of Pr3NiPt, from Alexandria.

Cell lengths 7.539, 7.060, 11.379 Å; angles 90.00, 119.66, 90.00 degrees
Fractional positions:
Pr 0.095 0.184 0.233
Pr 0.095 0.316 0.733
Pr 0.300 0.510 0.066
Pr 0.300 0.990 0.566
Pr 0.355 0.512 0.571
Pr 0.355 0.988 0.071
Pr 0.645 0.012 0.929
Pr 0.645 0.488 0.429
Pr 0.700 0.010 0.434
Pr 0.700 0.490 0.934
Pr 0.905 0.684 0.267
Pr 0.905 0.816 0.767
Ni 0.002 0.700 0.555
Ni 0.002 0.800 0.055
Ni 0.998 0.200 0.945
Ni 0.998 0.300 0.445
Pt 0.317 0.710 0.815
Pt 0.317 0.790 0.315
Pt 0.683 0.210 0.685
Pt 0.683 0.290 0.185

Values from the calculation:
For the final energy, the calculation gives -5.76 eV per atom. The formation enthalpy at 0 K is -0.524 eV/atom. Its space-group type is P2_1/c.